1.
First-principles (PBE) data for crystalline LiMgTa2Sb at its relaxed geometry, as listed in the Alexandria database.

Summary:
- Total moment: 0.00 μB/f.u.
- Formation energy (no corrections): 930 meV/atom
- Mass density: 9.1 Mg/m³
- VASP energy: -5.337 eV/atom
- Energy above the most stable polymorph in this dataset: 0.0000 eV/atom
- Space group: P4/mmm

Lattice parameters (Å, degrees): 4.5452 4.5452 4.5267 90.00 90.00 90.00
Last column: nearest neighbours and their distance in Å.
Element x y z (fractional)
Li 0.0000 0.0000 0.0000  2 Sb 2.26, 4 Ta 2.27
Mg 0.5000 0.5000 0.5000  8 Ta 3.21, 4 Sb 3.21
Ta 0.0000 0.5000 0.0000  2 Li 2.27
Ta 0.5000 0.0000 0.0000  2 Li 2.27
Sb 0.0000 0.0000 0.5000  2 Li 2.26

***

2.
First-principles (PBE) data for crystalline LiMgTa2Sb at its relaxed geometry, as listed in the Alexandria database.

Summary:
- Total moment: 0.00 μB/f.u.
- Formation energy (no corrections): 1417 meV/atom
- Mass density: 6.2 Mg/m³
- VASP energy: -4.850 eV/atom
- Energy above the most stable polymorph in this dataset: 0.4862 eV/atom
- Space group: P4/mmm

Lattice parameters (Å, degrees): 5.1377 5.1377 5.2198 90.00 90.00 90.00
Last column: nearest neighbours and their distance in Å.
Element x y z (fractional)
Li 0.0000 0.0000 0.0000  4 Mg 3.63, 8 Ta 3.66
Mg 0.5000 0.5000 0.0000  2 Sb 2.61
Ta 0.0000 0.5000 0.5000  2 Sb 2.57
Ta 0.5000 0.0000 0.5000  2 Sb 2.57
Sb 0.5000 0.5000 0.5000  4 Ta 2.57, 2 Mg 2.61

***

3.
First-principles (PBE) data for crystalline LiMgTcSb at its relaxed geometry, as listed in the Alexandria database.

Summary:
- Total moment: 0.00 μB/f.u.
- Formation energy (no corrections): -50 meV/atom
- Mass density: 6.2 Mg/m³
- VASP energy: -4.549 eV/atom
- Space group: F-43m

Lattice parameters (Å, degrees): 4.5617 4.5617 4.5617 60.00 60.00 60.00
Last column: nearest neighbours and their distance in Å.
Element x y z (fractional)
Li 0.0000 0.0000 0.0000  4 Sb 2.79, 4 Mg 2.79
Mg 0.2500 0.2500 0.2500  4 Tc 2.79, 4 Li 2.79
Tc 0.5000 0.5000 0.5000  4 Mg 2.79, 4 Sb 2.79
Sb 0.7500 0.7500 0.7500  4 Tc 2.79, 4 Li 2.79

***

4.
First-principles (PBE) data for crystalline LiMgSbTe2 at its relaxed geometry, as listed in the Alexandria database.

Summary:
- Total moment: 0.00 μB/f.u.
- Formation energy (no corrections): 111 meV/atom
- Mass density: 5.0 Mg/m³
- VASP energy: -2.671 eV/atom
- Energy above the most stable polymorph in this dataset: 0.0285 eV/atom
- Space group: P4/mmm

Lattice parameters (Å, degrees): 5.3125 5.3125 4.8081 90.00 90.00 90.00
Last column: nearest neighbours and their distance in Å.
Element x y z (fractional)
Li 0.0000 0.0000 0.0000  2 Sb 2.40, 4 Te 2.66
Mg 0.5000 0.5000 0.5000  8 Te 3.58, 4 Sb 3.76
Sb 0.0000 0.0000 0.5000  2 Li 2.40
Te 0.0000 0.5000 0.0000  2 Li 2.66
Te 0.5000 0.0000 0.0000  2 Li 2.66

***

5.
First-principles (PBE) data for crystalline LiMg2SbTe at its relaxed geometry, as listed in the Alexandria database.

Summary:
- Total moment: 0.00 μB/f.u.
- Formation energy (no corrections): 181 meV/atom
- Mass density: 3.9 Mg/m³
- VASP energy: -2.293 eV/atom
- Space group: P4/mmm

Lattice parameters (Å, degrees): 5.2581 5.2581 4.6716 90.00 90.00 90.00
Last column: nearest neighbours and their distance in Å.
Element x y z (fractional)
Li 0.0000 0.0000 0.0000  2 Te 2.34
Mg 0.0000 0.5000 0.0000  2 Li 2.63
Mg 0.5000 0.0000 0.0000  2 Li 2.63
Sb 0.5000 0.5000 0.5000  8 Mg 3.52, 4 Te 3.72
Te 0.0000 0.0000 0.5000  2 Li 2.34

***

6.
First-principles (PBE) data for crystalline LiMgSbTe2 at its relaxed geometry, as listed in the Alexandria database.

Summary:
- Total moment: 0.00 μB/f.u.
- Formation energy (no corrections): 83 meV/atom
- Mass density: 4.0 Mg/m³
- VASP energy: -2.700 eV/atom
- Energy above the most stable polymorph in this dataset: 0.0000 eV/atom
- Space group: P4/mmm

Lattice parameters (Å, degrees): 5.6172 5.6172 5.3191 90.00 90.00 90.00
Last column: nearest neighbours and their distance in Å.
Element x y z (fractional)
Li 0.0000 0.0000 0.0000  8 Te 3.87, 4 Sb 3.97
Mg 0.5000 0.5000 0.5000  2 Sb 2.66, 4 Te 2.81
Sb 0.5000 0.5000 0.0000  2 Mg 2.66
Te 0.0000 0.5000 0.5000  2 Mg 2.81
Te 0.5000 0.0000 0.5000  2 Mg 2.81

***

7.
First-principles (PBE) data for crystalline LiMg2TiSb at its relaxed geometry, as listed in the Alexandria database.

Summary:
- Total moment: 0.07 μB/f.u.
- Formation energy (no corrections): 696 meV/atom
- Mass density: 2.7 Mg/m³
- VASP energy: -2.728 eV/atom
- Space group: P4/mmm

Lattice parameters (Å, degrees): 5.3549 5.3549 4.8607 90.00 90.00 90.00
Last column: nearest neighbours and their distance in Å.
Element x y z (fractional)
Li 0.0000 0.0000 0.0000  2 Sb 2.43
Mg 0.0000 0.5000 0.5000  2 Sb 2.68
Mg 0.5000 0.0000 0.5000  2 Sb 2.68
Ti 0.5000 0.5000 0.0000  8 Mg 3.62, 4 Li 3.79
Sb 0.0000 0.0000 0.5000  2 Li 2.43, 4 Mg 2.68

***

8.
First-principles (PBE) data for crystalline LiYMgSb2 at its relaxed geometry, as listed in the Alexandria database.

Summary:
- Total moment: 0.64 μB/f.u.
- Formation energy (no corrections): 384 meV/atom
- Mass density: 3.3 Mg/m³
- VASP energy: -3.259 eV/atom
- Space group: P4/mmm

Lattice parameters (Å, degrees): 5.7039 5.7039 5.6374 90.00 90.00 90.00
Last column: nearest neighbours and their distance in Å.
Element x y z (fractional)
Li 0.0000 0.0000 0.0000  2 Y 2.82
Y 0.0000 0.0000 0.5000  2 Li 2.82, 4 Sb 2.85
Mg 0.5000 0.5000 0.0000  8 Sb 4.01, 4 Li 4.03
Sb 0.0000 0.5000 0.5000  2 Y 2.85
Sb 0.5000 0.0000 0.5000  2 Y 2.85

***

9.
First-principles (PBE) data for crystalline LiMgZnSb at its relaxed geometry, as listed in the Alexandria database.

Summary:
- Total moment: 0.00 μB/f.u.
- Formation energy (no corrections): -256 meV/atom
- Mass density: 4.4 Mg/m³
- VASP energy: -2.482 eV/atom
- Space group: F-43m

Lattice parameters (Å, degrees): 4.8917 4.8917 4.8917 60.00 60.00 60.00
Last column: nearest neighbours and their distance in Å.
Element x y z (fractional)
Li 0.0000 0.0000 0.0000  4 Zn 3.00, 4 Sb 3.00
Mg 0.5000 0.5000 0.5000  4 Sb 3.00, 4 Zn 3.00
Zn 0.7500 0.7500 0.7500  4 Mg 3.00, 4 Li 3.00
Sb 0.2500 0.2500 0.2500  4 Mg 3.00, 4 Li 3.00

***

10.
First-principles (PBE) data for crystalline Li2Mg2Sc at its relaxed geometry, as listed in the Alexandria database.

Summary:
- Total moment: 0.18 μB/f.u.
- Energy of formation from the pure elements: 0.1161 eV/atom
- Mass density: 1.6 Mg/m³
- VASP energy: -2.554 eV/atom
- Energy above the most stable polymorph in this dataset: 0.1079 eV/atom
- Space group: I4/mmm

Lattice parameters (Å, degrees): 7.8685 7.8685 7.8685 151.38 151.38 40.93
Last column: nearest neighbours and their distance in Å.
Element x y z (fractional)
Li 0.2500 0.7500 0.5000  4 Li 2.75, 4 Mg 2.93
Li 0.7500 0.2500 0.5000  4 Li 2.75, 4 Mg 2.93
Mg 0.1012 0.1012 0.0000  4 Li 2.93, 1 Mg 2.98, 4 Sc 3.13
Mg 0.8988 0.8988 0.0000  4 Li 2.93, 1 Mg 2.98, 4 Sc 3.13
Sc 0.5000 0.5000 0.0000  8 Mg 3.13

***

11.
First-principles (PBE) data for crystalline LiMg8Sc2 at its relaxed geometry, as listed in the Alexandria database.

Summary:
- Total moment: 0.00 μB/f.u.
- Energy of formation from the pure elements: 0.0088 eV/atom
- Mass density: 1.9 Mg/m³
- VASP energy: -2.476 eV/atom
- Energy above the most stable polymorph in this dataset: 0.0277 eV/atom
- Space group: P4/mmm

Lattice parameters (Å, degrees): 4.4898 4.4898 12.6237 90.00 90.00 90.00
Last column: nearest neighbours and their distance in Å.
Element x y z (fractional)
Li 0.0000 0.0000 0.0000  8 Mg 2.83
Mg 0.0000 0.5000 0.1368  2 Li 2.83
Mg 0.0000 0.5000 0.5000  8 Mg 3.17-3.21, 4 Sc 3.24
Mg 0.0000 0.5000 0.8632  2 Li 2.83
Mg 0.5000 0.0000 0.1368  2 Li 2.83
Mg 0.5000 0.0000 0.5000  8 Mg 3.17-3.21, 4 Sc 3.24
Mg 0.5000 0.0000 0.8632  2 Li 2.83
Mg 0.5000 0.5000 0.3180  4 Sc 3.17, 8 Mg 3.21
Mg 0.5000 0.5000 0.6820  4 Sc 3.17, 8 Mg 3.21
Sc 0.0000 0.0000 0.3153  12 Mg 3.17-3.24
Sc 0.0000 0.0000 0.6847  12 Mg 3.17-3.24

***

12.
First-principles (PBE) data for crystalline Li2Mg2Sc3 at its relaxed geometry, as listed in the Alexandria database.

Summary:
- Total moment: 0.00 μB/f.u.
- Energy of formation from the pure elements: 0.0071 eV/atom
- Mass density: 2.0 Mg/m³
- VASP energy: -3.709 eV/atom
- Space group: Cmmm

Lattice parameters (Å, degrees): 15.1260 15.1260 3.2280 90.00 90.00 167.43
Last column: nearest neighbours and their distance in Å.
Element x y z (fractional)
Li 0.2127 0.7873 0.0000  2 Li 2.79, 4 Mg 3.01
Li 0.7873 0.2127 0.0000  2 Li 2.79, 4 Mg 3.01
Mg 0.3516 0.6484 0.5000  4 Li 3.01, 4 Sc 3.19, 4 Mg 3.23-3.31
Mg 0.6484 0.3516 0.5000  4 Li 3.01, 4 Sc 3.19, 4 Mg 3.23-3.31
Sc 0.0752 0.9248 0.0000  4 Mg 3.19, 8 Sc 3.23-3.31
Sc 0.5000 0.5000 0.5000  12 Sc 3.23-3.31
Sc 0.9248 0.0752 0.0000  4 Mg 3.19, 8 Sc 3.23-3.31

***

Q: The highest VASP energy belongs to which entry?
A: LiMg2SbTe

***

Q: The highest total moment belongs to which entry?
A: LiYMgSb2